This record from Alexandria describes crystalline La3PmPr2Se6 at its relaxed geometry. The functional is PBE.

Structure (extended XYZ):
```
12
Lattice="-4.0195 4.2208 -4.5958 -2.1926 -6.9107 1.5900 -1.5831 3.3085 6.4213" Properties=species:S:1:pos:R:3 pbc="T T T"
La -3.2915 -3.3835 3.7599
La -4.5037 4.0021 -0.3443
La -3.8976 0.3093 1.7078
Pm 0.0000 0.0000 0.0000
Pr -2.8018 -3.1989 -0.4726
Pr -3.4103 0.5090 -2.5331
Se -6.1755 2.3054 1.5592
Se -5.0679 -1.2061 -0.6736
Se -1.6198 -1.6868 1.8564
Se -5.5728 -1.3667 3.5998
Se -2.7273 1.8248 4.0893
Se -2.2225 1.9854 -0.1842
```

Results
Formation energy from raw total energies (eV per atom): -1.9285
VASP energy (eV per cell): -73.1



This record from Alexandria describes crystalline AlRe2S at its relaxed geometry. The functional is PBE.

Structure (extended XYZ):
```
8
Lattice="7.2034 0.0000 0.0000 0.0000 7.2034 0.0000 3.6017 3.6017 2.4460" Properties=species:S:1:pos:R:3 pbc="T T T"
Re 6.0315 1.8009 0.6115
Re 1.1720 5.4026 0.6115
Re 5.4026 4.7737 1.8345
Re 9.0043 9.6332 1.8345
S 0.0000 0.0000 0.0000
S 7.2034 3.6017 1.2230
Al 3.6017 3.6017 0.0000
Al 3.6017 7.2034 1.2230
```

Results
Formation energy from raw total energies (eV per atom): 0.4381
Excess energy over the best structure of this formula in the dataset (eV per atom): 0.053
VASP energy (eV per cell): -62.0



Q: Which formula does entry 1 have?
A: La3PmPr2Se6